(1)
# PBE-GGA Tc3PdC, optimized geometry
data_Tc3PdC
_chemical_formula_sum 'Tc3 Pd1 C1'
_symmetry_space_group_name_H-M 'P 1'
_symmetry_Int_Tables_number 1
_symmetry_space_group_name_Hall 'P 1'
_cell_length_a 4.8316
_cell_length_b 4.8316
_cell_length_c 4.8316
_cell_angle_alpha 90.00
_cell_angle_beta 90.00
_cell_angle_gamma 90.00
loop_
_atom_site_label
_atom_site_fract_x
_atom_site_fract_y
_atom_site_fract_z
Tc1 0.0000 0.0000 0.5000
Tc2 0.0000 0.5000 0.0000
Tc3 0.5000 0.0000 0.0000
Pd1 0.0000 0.0000 0.0000
C1 0.5000 0.5000 0.5000
# Magnetic moment, μB per formula unit: 7.7
# Formation energy, kJ/mol of formula units: 1628
# Offset from the most stable computed form, meV/atom: 3182.6
# N(E_F), states/eV/cell: 7.49
# Space-group type: No. 221


(2)
# PBE-GGA Ta2FeOsC, optimized geometry
data_Ta2FeOsC
_chemical_formula_sum 'Ta2 Fe1 Os1 C1'
_symmetry_space_group_name_H-M 'P 1'
_symmetry_Int_Tables_number 1
_symmetry_space_group_name_Hall 'P 1'
_cell_length_a 4.2956
_cell_length_b 4.2956
_cell_length_c 3.7033
_cell_angle_alpha 90.00
_cell_angle_beta 90.00
_cell_angle_gamma 90.00
loop_
_atom_site_label
_atom_site_fract_x
_atom_site_fract_y
_atom_site_fract_z
Ta1 0.0000 0.5000 0.0000
Ta2 0.5000 0.0000 0.0000
Fe1 0.0000 0.0000 0.5000
Os1 0.5000 0.5000 0.5000
C1 0.0000 0.0000 0.0000
# Magnetic moment, μB per formula unit: 1.0
# Formation energy, kJ/mol of formula units: -75
# N(E_F), states/eV/cell: 4.05
# Space-group type: No. 123


(3)
# PBE-GGA BaCdAs2Se, optimized geometry
data_BaCdAs2Se
_chemical_formula_sum 'Ba1 Cd1 As2 Se1'
_symmetry_space_group_name_H-M 'P 1'
_symmetry_Int_Tables_number 1
_symmetry_space_group_name_Hall 'P 1'
_cell_length_a 6.5387
_cell_length_b 6.5387
_cell_length_c 6.1579
_cell_angle_alpha 90.00
_cell_angle_beta 90.00
_cell_angle_gamma 90.00
loop_
_atom_site_label
_atom_site_fract_x
_atom_site_fract_y
_atom_site_fract_z
Ba1 0.0000 0.0000 0.0000
Cd1 0.5000 0.5000 0.5000
As1 0.0000 0.5000 0.0000
As2 0.5000 0.0000 0.0000
Se1 0.0000 0.0000 0.5000
# Magnetic moment, μB per formula unit: 3.9
# E_form (uncorrected), eV/f.u.: 3.8
# Offset from the most stable computed form, meV/atom: 953.2
# N(E_F), states/eV/cell: 6.90
# Space-group type: No. 123


(4)
# PBE-GGA BiAsPSe2, optimized geometry
data_BiAsPSe2
_chemical_formula_sum 'Bi1 As1 P1 Se2'
_symmetry_space_group_name_H-M 'P 1'
_symmetry_Int_Tables_number 1
_symmetry_space_group_name_Hall 'P 1'
_cell_length_a 5.4176
_cell_length_b 5.4176
_cell_length_c 5.5255
_cell_angle_alpha 90.00
_cell_angle_beta 90.00
_cell_angle_gamma 90.00
loop_
_atom_site_label
_atom_site_fract_x
_atom_site_fract_y
_atom_site_fract_z
Bi1 0.0000 0.0000 0.0000
As1 0.0000 0.0000 0.5000
P1 0.5000 0.5000 0.5000
Se1 0.0000 0.5000 0.0000
Se2 0.5000 0.0000 0.0000
# Magnetic moment, μB per formula unit: 0.5
# E_form (uncorrected), eV/f.u.: 6.3
# Offset from the most stable computed form, meV/atom: 923.2
# N(E_F), states/eV/cell: 6.81
# Space-group type: No. 123


(5)
# PBE-GGA Ca2PuThBi4, optimized geometry
data_Ca2PuThBi4
_chemical_formula_sum 'Ca2 Pu1 Th1 Bi4'
_symmetry_space_group_name_H-M 'P 1'
_symmetry_Int_Tables_number 1
_symmetry_space_group_name_Hall 'P 1'
_cell_length_a 7.9177
_cell_length_b 4.6353
_cell_length_c 7.9983
_cell_angle_alpha 90.00
_cell_angle_beta 109.85
_cell_angle_gamma 90.00
loop_
_atom_site_label
_atom_site_fract_x
_atom_site_fract_y
_atom_site_fract_z
Ca1 0.0000 0.0000 0.0000
Ca2 0.0000 0.5000 0.5000
Pu1 0.5000 0.0000 0.5000
Th1 0.5000 0.5000 0.0000
Bi1 0.2555 0.0000 0.7488
Bi2 0.2599 0.5000 0.2568
Bi3 0.7401 0.5000 0.7432
Bi4 0.7445 0.0000 0.2512
# Magnetic moment, μB per formula unit: 4.5
# Formation energy, kJ/mol of formula units: -473
# N(E_F), states/eV/cell: 16.94
# Space-group type: No. 10


(6)
# PBE-GGA ZrCuRh2, optimized geometry
data_ZrCuRh2
_chemical_formula_sum 'Zr2 Cu2 Rh4'
_symmetry_space_group_name_H-M 'P 1'
_symmetry_Int_Tables_number 1
_symmetry_space_group_name_Hall 'P 1'
_cell_length_a 9.1215
_cell_length_b 9.1215
_cell_length_c 9.1215
_cell_angle_alpha 154.95
_cell_angle_beta 154.95
_cell_angle_gamma 35.73
loop_
_atom_site_label
_atom_site_fract_x
_atom_site_fract_y
_atom_site_fract_z
Zr1 0.0000 0.0000 0.0000
Zr2 0.7500 0.2500 0.5000
Cu1 0.2500 0.7500 0.5000
Cu2 0.5000 0.5000 0.0000
Rh1 0.1602 0.6250 0.0352
Rh2 0.3750 0.4102 0.5352
Rh3 0.5898 0.1250 0.9648
Rh4 0.8750 0.8398 0.4648
# Magnetic moment, μB per formula unit: 0.0
# Formation energy, kJ/mol of formula units: -33
# N(E_F), states/eV/cell: 6.11
# Space-group type: No. 122


(7)
# PBE-GGA TbGdSn2, optimized geometry
data_TbGdSn2
_chemical_formula_sum 'Tb1 Gd1 Sn2'
_symmetry_space_group_name_H-M 'P 1'
_symmetry_Int_Tables_number 1
_symmetry_space_group_name_Hall 'P 1'
_cell_length_a 3.4709
_cell_length_b 3.4709
_cell_length_c 8.9176
_cell_angle_alpha 90.00
_cell_angle_beta 90.00
_cell_angle_gamma 90.00
loop_
_atom_site_label
_atom_site_fract_x
_atom_site_fract_y
_atom_site_fract_z
Tb1 0.0000 0.0000 0.0000
Gd1 0.0000 0.0000 0.5000
Sn1 0.5000 0.5000 0.2477
Sn2 0.5000 0.5000 0.7523
# Magnetic moment, μB per formula unit: 7.4
# Formation energy, kJ/mol of formula units: -259
# Offset from the most stable computed form, meV/atom: 0.0
# N(E_F), states/eV/cell: 3.14
# Space-group type: No. 123


(8)
# PBE-GGA BaZn3Pt, optimized geometry
data_BaZn3Pt
_chemical_formula_sum 'Ba4 Zn12 Pt4'
_symmetry_space_group_name_H-M 'P 1'
_symmetry_Int_Tables_number 1
_symmetry_space_group_name_Hall 'P 1'
_cell_length_a 8.6851
_cell_length_b 8.6851
_cell_length_c 6.3469
_cell_angle_alpha 101.46
_cell_angle_beta 101.46
_cell_angle_gamma 72.15
loop_
_atom_site_label
_atom_site_fract_x
_atom_site_fract_y
_atom_site_fract_z
Ba1 0.0705 0.9295 0.7500
Ba2 0.3728 0.6272 0.2500
Ba3 0.6272 0.3728 0.7500
Ba4 0.9295 0.0705 0.2500
Zn1 0.0092 0.3783 0.6350
Zn2 0.0167 0.3521 0.0506
Zn3 0.2770 0.2996 0.3850
Zn4 0.2996 0.2770 0.8850
Zn5 0.3521 0.0167 0.5506
Zn6 0.3783 0.0092 0.1350
Zn7 0.6217 0.9908 0.8650
Zn8 0.6479 0.9833 0.4494
Zn9 0.7004 0.7230 0.1150
Zn10 0.7230 0.7004 0.6150
Zn11 0.9833 0.6479 0.9494
Zn12 0.9908 0.6217 0.3650
Pt1 0.2196 0.5476 0.6963
Pt2 0.4524 0.7804 0.8037
Pt3 0.5476 0.2196 0.1963
Pt4 0.7804 0.4524 0.3037
# Magnetic moment, μB per formula unit: 0.0
# Formation energy, kJ/mol of formula units: -153
# Offset from the most stable computed form, meV/atom: 141.2
# N(E_F), states/eV/cell: 12.56
# Space-group type: No. 15


(9)
# PBE-GGA CaCeRh4, optimized geometry
data_CaCeRh4
_chemical_formula_sum 'Ca1 Ce1 Rh4'
_symmetry_space_group_name_H-M 'P 1'
_symmetry_Int_Tables_number 1
_symmetry_space_group_name_Hall 'P 1'
_cell_length_a 5.3546
_cell_length_b 5.3546
_cell_length_c 5.3546
_cell_angle_alpha 60.00
_cell_angle_beta 60.00
_cell_angle_gamma 60.00
loop_
_atom_site_label
_atom_site_fract_x
_atom_site_fract_y
_atom_site_fract_z
Ca1 0.0000 0.0000 0.0000
Ce1 0.7500 0.7500 0.7500
Rh1 0.3747 0.3747 0.3747
Rh2 0.3747 0.3747 0.8758
Rh3 0.3747 0.8758 0.3747
Rh4 0.8758 0.3747 0.3747
# Magnetic moment, μB per formula unit: 0.0
# Formation energy, kJ/mol of formula units: -340
# N(E_F), states/eV/cell: 5.85
# Space-group type: No. 216


(10)
# PBE-GGA Zr3Ti2Ge4, optimized geometry
data_Zr3Ti2Ge4
_chemical_formula_sum 'Zr3 Ti2 Ge4'
_symmetry_space_group_name_H-M 'P 1'
_symmetry_Int_Tables_number 1
_symmetry_space_group_name_Hall 'P 1'
_cell_length_a 6.2853
_cell_length_b 6.2853
_cell_length_c 8.3211
_cell_angle_alpha 115.93
_cell_angle_beta 115.93
_cell_angle_gamma 35.50
loop_
_atom_site_label
_atom_site_fract_x
_atom_site_fract_y
_atom_site_fract_z
Zr1 0.0000 0.0000 0.0000
Zr2 0.3691 0.3691 0.3036
Zr3 0.6309 0.6309 0.6964
Ti1 0.3119 0.3119 0.6417
Ti2 0.6881 0.6881 0.3583
Ge1 0.0621 0.0621 0.3975
Ge2 0.3086 0.3086 0.9422
Ge3 0.6914 0.6914 0.0578
Ge4 0.9379 0.9379 0.6025
# Magnetic moment, μB per formula unit: 0.0
# Formation energy, kJ/mol of formula units: -532
# N(E_F), states/eV/cell: 8.10
# Space-group type: No. 12


(11)
# PBE-GGA CsCa3V, optimized geometry
data_CsCa3V
_chemical_formula_sum 'Cs1 Ca3 V1'
_symmetry_space_group_name_H-M 'P 1'
_symmetry_Int_Tables_number 1
_symmetry_space_group_name_Hall 'P 1'
_cell_length_a 5.8765
_cell_length_b 5.8765
_cell_length_c 5.8765
_cell_angle_alpha 90.00
_cell_angle_beta 90.00
_cell_angle_gamma 90.00
loop_
_atom_site_label
_atom_site_fract_x
_atom_site_fract_y
_atom_site_fract_z
Cs1 0.0000 0.0000 0.0000
Ca1 0.0000 0.0000 0.5000
Ca2 0.0000 0.5000 0.0000
Ca3 0.5000 0.0000 0.0000
V1 0.5000 0.5000 0.5000
# Magnetic moment, μB per formula unit: 2.0
# Formation energy, kJ/mol of formula units: 758
# N(E_F), states/eV/cell: 7.14
# Space-group type: No. 221


(12)
# PBE-GGA AcLa2Pu, optimized geometry
data_AcLa2Pu
_chemical_formula_sum 'Ac1 La2 Pu1'
_symmetry_space_group_name_H-M 'P 1'
_symmetry_Int_Tables_number 1
_symmetry_space_group_name_Hall 'P 1'
_cell_length_a 3.7430
_cell_length_b 3.7430
_cell_length_c 10.3134
_cell_angle_alpha 90.00
_cell_angle_beta 90.00
_cell_angle_gamma 90.00
loop_
_atom_site_label
_atom_site_fract_x
_atom_site_fract_y
_atom_site_fract_z
Ac1 0.0000 0.0000 0.0000
La1 0.5000 0.5000 0.2751
La2 0.5000 0.5000 0.7249
Pu1 0.0000 0.0000 0.5000
# Magnetic moment, μB per formula unit: 6.5
# Formation energy, kJ/mol of formula units: 47
# Offset from the most stable computed form, meV/atom: 0.0
# N(E_F), states/eV/cell: 10.41
# Space-group type: No. 123